VASP calculation (meta-GGA SCAN) on a PBEsol-optimized structure of ScAs2Os.

## Properties
Its mass density is 10.15 g cm⁻³. The value obtained for the energy above the most stable polymorph in this dataset is 0.229 eV/atom.

Structure (extended XYZ):
```
4
Lattice="-3.0969 -0.3801 -0.0123 0.3168 -2.4596 -3.7461 0.4466 -3.7194 2.4798" Properties=species:S:1:pos:R:3 pbc="T T T"
As 0.2233 -1.8597 1.2399
As 0.1584 -1.2298 -1.8731
Os -1.1667 -3.2795 -0.6393
Sc -1.5484 -0.1900 -0.0062
```

***

VASP calculation (meta-GGA SCAN) on a PBEsol-optimized structure of CaTlIn2Ag.

## Properties
Its mass density is 5.22 g cm⁻³.

Structure (extended XYZ):
```
5
Lattice="5.6801 0.0000 0.0000 0.0000 5.7091 0.0000 0.0000 0.0000 5.7091" Properties=species:S:1:pos:R:3 pbc="T T T"
Tl 2.8400 0.0000 0.0000
Ca 0.0000 0.0000 0.0000
Ag 2.8400 2.8545 2.8545
In 0.0000 0.0000 2.8545
In 0.0000 2.8545 0.0000
```

***

Computed values of E_form (unit: eV/atom) for the preceding records, in sequence: -0.30; 0.80.